--- one ---
Entry from the Alexandria database: crystalline NaPrSn4 at its relaxed geometry (PBE).

Results
* size of the total moment: 0.0 μB/f.u.
* SG: Cmcm
* N(E_F): 4.5 states/eV/cell

Cell: 4.7764 6.5615 11.6976 Å, 90.00 101.78 90.00°
Fractional coordinates of all 12 atoms:
Pr  0.4353  0.2500  0.8706
Pr  0.5647  0.7500  0.1294
Sn  0.5837  0.2500  0.1675
Sn  0.4163  0.7500  0.8325
Sn  0.1466  0.9986  0.2931
Sn  0.0000  0.5000  0.0000
Sn  0.8534  0.4986  0.7069
Sn  0.8534  0.0014  0.7069
Sn  0.1466  0.5014  0.2931
Sn  0.0000  0.0000  0.0000
Na  0.2712  0.7500  0.5423
Na  0.7288  0.2500  0.4577

=====

--- two ---
Entry from the Alexandria database: crystalline NaPrSn4 at its relaxed geometry (PBE).

Results
* size of the total moment: 0.0 μB/f.u.
* SG: F-43m

Cell: 6.2448 6.2448 6.2448 Å, 60.00 60.00 60.00°
Fractional coordinates of all 6 atoms:
Pr  0.0000  0.0000  0.0000
Sn  0.6251  0.1246  0.6251
Sn  0.6251  0.6251  0.6251
Sn  0.6251  0.6251  0.1246
Sn  0.1246  0.6251  0.6251
Na  0.2500  0.2500  0.2500

=====

Order of stability, best first: one, two

=====

--- one ---
Entry from the Alexandria database: crystalline NaTb2Pr at its relaxed geometry (PBE).

Results
* size of the total moment: 0.0 μB/f.u.
* SG: R-3m
* N(E_F): 5.8 states/eV/cell

Cell: 3.5520 3.5520 13.0083 Å, 82.15 82.15 60.00°
Fractional coordinates of all 4 atoms:
Na  0.0000  0.0000  0.0000
Tb  0.9088  0.9088  0.2736
Tb  0.0912  0.0912  0.7264
Pr  0.5000  0.5000  0.5000

=====

--- two ---
Entry from the Alexandria database: crystalline NaTb2Pr at its relaxed geometry (PBE).

Results
* size of the total moment: 0.0 μB/f.u.
* SG: P4/mmm
* N(E_F): 5.2 states/eV/cell

Cell: 3.5901 3.5901 10.6187 Å, 90.00 90.00 90.00°
Fractional coordinates of all 4 atoms:
Tb  0.0000  0.0000  0.7651
Tb  0.0000  0.0000  0.2349
Na  0.5000  0.5000  0.5000
Pr  0.5000  0.5000  0.0000

=====

Order of stability, best first: two, one

=====

--- one ---
Entry from the Alexandria database: crystalline NaPrTl2 at its relaxed geometry (PBE).

Results
* size of the total moment: 0.0 μB/f.u.
* SG: Fm-3m
* N(E_F): 1.6 states/eV/cell

Cell: 5.4558 5.4558 5.4558 Å, 60.00 60.00 60.00°
Fractional coordinates of all 4 atoms:
Tl  0.7500  0.7500  0.7500
Tl  0.2500  0.2500  0.2500
Pr  0.0000  0.0000  0.0000
Na  0.5000  0.5000  0.5000

=====

--- two ---
Entry from the Alexandria database: crystalline NaPrTl2 at its relaxed geometry (PBE).

Results
* size of the total moment: 0.0 μB/f.u.
* SG: P4/mmm
* N(E_F): 2.1 states/eV/cell

Cell: 4.0117 5.3946 5.3946 Å, 90.00 90.00 90.00°
Fractional coordinates of all 4 atoms:
Tl  0.0000  0.5000  0.0000
Tl  0.0000  0.0000  0.5000
Na  0.5000  0.5000  0.5000
Pr  0.5000  0.0000  0.0000

=====

Order of stability, best first: two, one

=====

--- one ---
Entry from the Alexandria database: crystalline NaPr2Tl at its relaxed geometry (PBE).

Results
* size of the total moment: 0.0 μB/f.u.
* SG: P4/mmm
* N(E_F): 4.6 states/eV/cell

Cell: 3.8656 3.8656 8.7635 Å, 90.00 90.00 90.00°
Fractional coordinates of all 4 atoms:
Tl  0.5000  0.5000  0.5000
Na  0.5000  0.5000  0.0000
Pr  0.0000  0.0000  0.2764
Pr  0.0000  0.0000  0.7236

=====

--- two ---
Entry from the Alexandria database: crystalline NaPr2Tl at its relaxed geometry (PBE).

Results
* size of the total moment: 0.0 μB/f.u.
* SG: P4/mmm
* N(E_F): 5.0 states/eV/cell

Cell: 4.5242 5.2331 5.2331 Å, 90.00 90.00 90.00°
Fractional coordinates of all 4 atoms:
Na  0.5000  0.0000  0.0000
Tl  0.5000  0.5000  0.5000
Pr  0.0000  0.5000  0.0000
Pr  0.0000  0.0000  0.5000

=====

Order of stability, best first: two, one